1.
A plane-wave DFT calculation with PBE was carried out for Sr2YSF after structural relaxation.

Geometry as POSCAR:
```
Sr2YSF
1.0
5.959 0.000 0.000
0.000 5.084 0.000
0.000 0.000 5.959
Y S Sr F
1 1 2 1
Direct
0.000 0.500 0.000
0.000 0.000 0.000
0.000 0.000 0.500
0.500 0.000 0.000
0.500 0.500 0.500
```

Summary:
DOS at the Fermi energy in states/eV/atom: 1.354
Calculated volume in Å³ per cell: 180.56
ΔE_f (raw) in kcal/mol of atoms: -21.87
Crystal system: tetragonal


2.
A plane-wave DFT calculation with PBE was carried out for SrZn2SF after structural relaxation.

Geometry as POSCAR:
```
SrZn2SF
1.0
4.790 0.000 0.000
0.000 5.852 0.000
0.000 0.000 4.790
Sr Zn F S
1 2 1 1
Direct
0.000 0.500 0.000
0.000 0.000 0.500
0.500 0.000 0.000
0.500 0.500 0.500
0.000 0.000 0.000
```

Summary:
DOS at the Fermi energy in states/eV/atom: 0.563
Calculated volume in Å³ per cell: 134.27
ΔE_f (raw) in kcal/mol of atoms: -16.08
Crystal system: tetragonal


3.
A plane-wave DFT calculation with PBE was carried out for SrZnSF2 after structural relaxation.

Geometry as POSCAR:
```
SrZnSF2
1.0
6.101 0.000 0.000
0.000 6.101 0.000
-3.051 -3.051 4.538
Zn F Sr S
2 4 2 2
Direct
0.000 0.000 0.000
0.500 0.500 0.000
0.838 0.662 0.000
0.162 0.338 0.000
0.662 0.162 0.000
0.338 0.838 0.000
0.250 0.750 0.500
0.750 0.250 0.500
0.250 0.250 0.500
0.750 0.750 0.500
```

Summary:
DOS at the Fermi energy in states/eV/atom: 0.000
Calculated volume in Å³ per cell: 168.92
ΔE_f (raw) in kcal/mol of atoms: -54.51
Crystal system: tetragonal


4.
A plane-wave DFT calculation with PBE was carried out for SrZrS2F after structural relaxation.

Geometry as POSCAR:
```
SrZrS2F
1.0
-3.479 0.772 1.386
-1.533 -2.497 -2.456
1.458 -9.953 9.208
Zr S Sr F
2 4 2 2
Direct
0.000 0.500 0.899
0.500 0.000 0.101
0.000 0.500 0.720
0.000 0.500 0.098
0.500 0.000 0.902
0.500 0.000 0.280
0.000 0.500 0.387
0.500 0.000 0.613
0.000 0.000 0.500
0.500 0.500 0.500
```

Summary:
DOS at the Fermi energy in states/eV/atom: 0.296
Calculated volume in Å³ per cell: 199.36
ΔE_f (raw) in kcal/mol of atoms: -53.05
Crystal system: tetragonal


5.
A plane-wave DFT calculation with PBE was carried out for TaSF after structural relaxation.

Geometry as POSCAR:
```
TaSF
1.0
3.178 0.000 0.000
0.000 3.903 0.000
-1.589 0.000 8.539
Ta S F
2 2 2
Direct
0.818 0.847 0.636
0.182 0.347 0.364
0.666 0.847 0.333
0.334 0.347 0.667
0.930 0.847 0.861
0.070 0.347 0.139
```

Summary:
DOS at the Fermi energy in states/eV/atom: 0.421
Calculated volume in Å³ per cell: 105.92
ΔE_f (raw) in kcal/mol of atoms: -34.58
Crystal system: orthorhombic


6.
A plane-wave DFT calculation with PBE was carried out for TaS2F after structural relaxation.

Geometry as POSCAR:
```
TaS2F
1.0
1.150 2.698 6.888
3.494 0.316 6.614
4.042 3.364 5.329
Ta F S
1 1 2
Direct
0.500 0.500 0.500
0.000 0.000 0.000
0.903 0.903 0.903
0.097 0.097 0.097
```

Summary:
DOS at the Fermi energy in states/eV/atom: 0.220
Calculated volume in Å³ per cell: 70.37
ΔE_f (raw) in kcal/mol of atoms: -22.67
Energy relative to the lowest polymorph listed for this composition in eV/atom: 0.5039
Crystal system: trigonal


7.
A plane-wave DFT calculation with PBE was carried out for TaSF after structural relaxation.

Geometry as POSCAR:
```
TaSF
1.0
-2.929 -1.031 0.794
2.152 -8.064 -2.536
1.784 1.021 7.902
S F Ta
4 4 4
Direct
0.250 0.530 0.207
0.750 0.470 0.793
0.250 0.030 0.707
0.750 0.970 0.293
0.750 0.228 0.033
0.250 0.772 0.967
0.250 0.272 0.467
0.750 0.728 0.533
0.250 0.312 0.907
0.750 0.188 0.593
0.750 0.688 0.093
0.250 0.812 0.407
```

Summary:
DOS at the Fermi energy in states/eV/atom: 0.403
Calculated volume in Å³ per cell: 214.44
ΔE_f (raw) in kcal/mol of atoms: -40.38
Crystal system: monoclinic


8.
A plane-wave DFT calculation with PBE was carried out for TaSF2 after structural relaxation.

Geometry as POSCAR:
```
TaSF2
1.0
1.704 0.000 10.651
-0.852 1.475 10.651
-0.852 -1.475 10.651
S F Ta
1 2 1
Direct
0.500 0.500 0.500
0.941 0.941 0.941
0.059 0.059 0.059
0.000 0.000 0.000
```

Summary:
DOS at the Fermi energy in states/eV/atom: 0.521
Calculated volume in Å³ per cell: 80.31
ΔE_f (raw) in kcal/mol of atoms: -25.98
Energy relative to the lowest polymorph listed for this composition in eV/atom: 0.2582
Crystal system: trigonal


9.
A plane-wave DFT calculation with PBE was carried out for TaS2F5 after structural relaxation.

Geometry as POSCAR:
```
TaS2F5
1.0
-3.302 -0.531 -2.248
3.276 -2.706 -5.740
-2.377 -6.048 1.219
F Ta S
5 1 2
Direct
0.074 0.737 0.015
0.021 0.986 0.706
0.979 0.261 0.986
0.713 0.014 0.296
0.447 0.999 0.001
0.948 0.000 0.001
0.354 0.526 0.418
0.687 0.477 0.577
```

Summary:
DOS at the Fermi energy in states/eV/atom: 0.034
Calculated volume in Å³ per cell: 179.42
ΔE_f (raw) in kcal/mol of atoms: -52.27
Crystal system: triclinic


10.
A plane-wave DFT calculation with PBE was carried out for TaSF2 after structural relaxation.

Geometry as POSCAR:
```
TaSF2
1.0
3.724 0.000 0.000
0.000 3.724 0.000
1.862 1.862 7.588
F S Ta
4 2 2
Direct
0.021 0.625 0.250
0.875 0.979 0.750
0.375 0.271 0.750
0.729 0.125 0.250
0.250 0.750 0.500
0.500 0.500 0.000
0.750 0.250 0.500
0.000 0.000 0.000
```

Summary:
DOS at the Fermi energy in states/eV/atom: 0.362
Calculated volume in Å³ per cell: 105.22
ΔE_f (raw) in kcal/mol of atoms: -31.94
Energy relative to the lowest polymorph listed for this composition in eV/atom: 0.0000
Crystal system: tetragonal


11.
A plane-wave DFT calculation with PBE was carried out for TaS3F after structural relaxation.

Geometry as POSCAR:
```
TaS3F
1.0
-4.044 0.943 -2.250
2.249 -0.249 -4.146
-0.946 -4.621 -0.236
Ta S F
1 3 1
Direct
0.000 0.000 0.000
0.500 0.000 0.000
0.000 0.500 0.000
0.000 0.000 0.500
0.500 0.500 0.500
```

Summary:
DOS at the Fermi energy in states/eV/atom: 1.169
Calculated volume in Å³ per cell: 105.36
ΔE_f (raw) in kcal/mol of atoms: -7.08
Energy relative to the lowest polymorph listed for this composition in eV/atom: 0.0000
Crystal system: cubic


12.
A plane-wave DFT calculation with PBE was carried out for TaS2F after structural relaxation.

Geometry as POSCAR:
```
TaS2F
1.0
6.015 0.000 0.000
0.000 6.015 0.000
3.008 3.008 4.805
S Ta F
4 2 2
Direct
0.086 0.625 0.250
0.664 0.125 0.250
0.875 0.914 0.750
0.375 0.336 0.750
0.750 0.250 0.500
0.000 0.000 0.000
0.250 0.750 0.500
0.500 0.500 0.000
```

Summary:
DOS at the Fermi energy in states/eV/atom: 0.000
Calculated volume in Å³ per cell: 173.86
ΔE_f (raw) in kcal/mol of atoms: -16.90
Energy relative to the lowest polymorph listed for this composition in eV/atom: 0.7544
Crystal system: tetragonal